Sc3OsF | GGA-PBEsol | optimized geometry

Calculated values
total moment: 0.0 μB per cell
excess energy over the best structure of this formula in the dataset: 708 meV per atom
E_form (uncorrected): -0.21 eV/atom
crystal system: cubic

Cell lengths 5.0082, 5.0082, 5.0082 Å; angles 90.00, 90.00, 90.00 degrees
Space group Pm-3m (No. 221)
Symmetry-distinct sites (fractional):
Sc  0.0000  0.0000  0.5000 [3 per cell]
Os  0.0000  0.0000  0.0000 [1 per cell]
F  0.5000  0.5000  0.5000 [1 per cell]